Entry 1:
A plane-wave DFT calculation with PBE was carried out for a relaxed BeFeRe3 crystal.

a = 4.0753 Å, b = 4.0753 Å, c = 4.0753 Å
α = 90.00°, β = 90.00°, γ = 90.00°
Fractional coordinates of all 5 atoms:
Re: 0.0000 0.5000 0.0000
Re: 0.5000 0.0000 0.0000
Re: 0.0000 0.0000 0.5000
Be: 0.0000 0.0000 0.0000
Fe: 0.5000 0.5000 0.5000

## Properties
Offset from the most stable computed form   0 meV/atom
Formation energy from the elements   0.88 eV/atom
Mass density   15.3 g/cm³

=====

Entry 2:
A plane-wave DFT calculation with PBE was carried out for a relaxed Na3CeSn2Se6 crystal.

a = 7.3210 Å, b = 7.3210 Å, c = 7.3627 Å
α = 99.55°, β = 99.55°, γ = 119.98°
Fractional coordinates of all 12 atoms:
Se: 0.9230 0.5966 0.7688
Se: 0.7510 0.7510 0.2316
Se: 0.2490 0.2490 0.7684
Se: 0.0770 0.4034 0.2312
Se: 0.4034 0.0770 0.2312
Se: 0.5966 0.9230 0.7688
Na: 0.5000 0.5000 0.5000
Na: 0.8280 0.1720 0.5000
Na: 0.1720 0.8280 0.5000
Sn: 0.3342 0.6658 0.0000
Sn: 0.6658 0.3342 0.0000
Ce: 0.0000 0.0000 0.0000

## Properties
Mass density   4.7 g/cm³
Formation energy without anion corrections   -1023 meV per atom

=====

Entry 3:
A plane-wave DFT calculation with PBE was carried out for a relaxed NaPaS2O8 crystal.

a = 5.4617 Å, b = 5.4617 Å, c = 7.3508 Å
α = 90.00°, β = 90.00°, γ = 120.00°
Site moments in Bohr magnetons follow the coordinates.
Fractional coordinates of all 12 atoms:
O: 0.1846 0.3691 0.7824  -0.01
O: 0.8154 0.1846 0.2176  -0.01
O: 0.6309 0.8154 0.7824  -0.01
O: 0.6667 0.3333 0.4890  0.00
O: 0.8154 0.6309 0.2176  -0.01
O: 0.3691 0.1846 0.2176  -0.01
O: 0.1846 0.8154 0.7824  -0.01
O: 0.3333 0.6667 0.5110  0.00
S: 0.6667 0.3333 0.2923  0.02
S: 0.3333 0.6667 0.7077  0.02
Pa: 0.0000 0.0000 0.0000  1.75
Na: 0.0000 0.0000 0.5000  0.00

## Properties
Mass density   3.9 g/cm³
Formation energy without anion corrections   -1762 meV per atom

=====

no.,uncorrected energy (eV per cell),total moment (μB per atom)
1,-45.13,0.00
2,-51.08,0.00
3,-79.88,0.17